No. 1
The following is a PBE-GGA calculation of NbVIN2 after structural relaxation, from Alexandria.

a = 3.927 Å, b = 3.927 Å, c = 5.371 Å
α = 90.00°, β = 90.00°, γ = 90.00°
Positions (direct):
I 0.000 0.000 0.500
Nb 0.500 0.500 0.500
N 0.000 0.500 0.000
N 0.500 0.000 0.000
V 0.000 0.000 0.000



No. 2
The following is a PBE-GGA calculation of NbWIN2 after structural relaxation, from Alexandria.

a = 3.996 Å, b = 3.996 Å, c = 5.658 Å
α = 90.00°, β = 90.00°, γ = 90.00°
Positions (direct):
I 0.000 0.000 0.500
Nb 0.500 0.500 0.500
W 0.000 0.000 0.000
N 0.000 0.500 0.000
N 0.500 0.000 0.000



No. 3
The following is a PBE-GGA calculation of NbWIN2 after structural relaxation, from Alexandria.

a = 4.083 Å, b = 4.083 Å, c = 5.893 Å
α = 90.00°, β = 90.00°, γ = 90.00°
Positions (direct):
I 0.000 0.000 0.500
Nb 0.000 0.000 0.000
W 0.500 0.500 0.500
N 0.000 0.500 0.000
N 0.500 0.000 0.000



No. 4
The following is a PBE-GGA calculation of Nb2WIN after structural relaxation, from Alexandria.

a = 4.148 Å, b = 5.104 Å, c = 4.148 Å
α = 90.00°, β = 90.00°, γ = 90.00°
Positions (direct):
I 0.000 0.500 0.000
Nb 0.000 0.000 0.500
Nb 0.500 0.000 0.000
W 0.500 0.500 0.500
N 0.000 0.000 0.000



No. 5
The following is a PBE-GGA calculation of YNbIN2 after structural relaxation, from Alexandria.

a = 4.189 Å, b = 4.189 Å, c = 5.468 Å
α = 90.00°, β = 90.00°, γ = 90.00°
Positions (direct):
I 0.000 0.000 0.500
Y 0.500 0.500 0.500
Nb 0.000 0.000 0.000
N 0.000 0.500 0.000
N 0.500 0.000 0.000



No. 6
The following is a PBE-GGA calculation of YNbIN2 after structural relaxation, from Alexandria.

a = 4.345 Å, b = 4.345 Å, c = 5.789 Å
α = 90.00°, β = 90.00°, γ = 90.00°
Positions (direct):
I 0.000 0.000 0.500
Y 0.000 0.000 0.000
Nb 0.500 0.500 0.500
N 0.000 0.500 0.000
N 0.500 0.000 0.000



No. 7
The following is a PBE-GGA calculation of NbZnIN2 after structural relaxation, from Alexandria.

a = 3.991 Å, b = 3.991 Å, c = 5.235 Å
α = 90.00°, β = 90.00°, γ = 90.00°
Positions (direct):
I 0.000 0.000 0.500
Nb 0.500 0.500 0.500
Zn 0.000 0.000 0.000
N 0.000 0.500 0.000
N 0.500 0.000 0.000



No. 8
The following is a PBE-GGA calculation of NbZnIN2 after structural relaxation, from Alexandria.

a = 4.065 Å, b = 4.065 Å, c = 5.958 Å
α = 90.00°, β = 90.00°, γ = 90.00°
Positions (direct):
I 0.000 0.000 0.500
Nb 0.000 0.000 0.000
Zn 0.500 0.500 0.500
N 0.000 0.500 0.000
N 0.500 0.000 0.000



No. 9
The following is a PBE-GGA calculation of ZrNbI2N after structural relaxation, from Alexandria.

a = 5.889 Å, b = 5.889 Å, c = 3.979 Å
α = 90.00°, β = 90.00°, γ = 90.00°
Positions (direct):
I 0.000 0.500 0.000
I 0.500 0.000 0.000
Nb 0.500 0.500 0.500
Zr 0.000 0.000 0.000
N 0.000 0.000 0.500



No. 10
The following is a PBE-GGA calculation of ZrNbIN2 after structural relaxation, from Alexandria.

a = 4.237 Å, b = 4.237 Å, c = 5.788 Å
α = 90.00°, β = 90.00°, γ = 90.00°
Positions (direct):
I 0.000 0.000 0.500
Nb 0.500 0.500 0.500
Zr 0.000 0.000 0.000
N 0.000 0.500 0.000
N 0.500 0.000 0.000



No. 11
The following is a PBE-GGA calculation of ZrNbI2N after structural relaxation, from Alexandria.

a = 5.742 Å, b = 3.897 Å, c = 5.742 Å
α = 90.00°, β = 90.00°, γ = 90.00°
Positions (direct):
I 0.000 0.000 0.500
I 0.500 0.000 0.000
Nb 0.000 0.000 0.000
Zr 0.500 0.500 0.500
N 0.000 0.500 0.000



No. 12
The following is a PBE-GGA calculation of ZrNbIN2 after structural relaxation, from Alexandria.

a = 4.122 Å, b = 4.122 Å, c = 5.469 Å
α = 90.00°, β = 90.00°, γ = 90.00°
Positions (direct):
I 0.000 0.000 0.500
Nb 0.000 0.000 0.000
Zr 0.500 0.500 0.500
N 0.000 0.500 0.000
N 0.500 0.000 0.000



No. 13
The following is a PBE-GGA calculation of Nd2I2N after structural relaxation, from Alexandria.

a = 3.923 Å, b = 3.921 Å, c = 12.037 Å
α = 81.76°, β = 80.62°, γ = 59.99°
Positions (direct):
Nd 0.709 0.195 0.387
Nd 0.291 0.805 0.613
I 0.446 0.910 0.198
I 0.554 0.090 0.802
N 0.000 0.500 0.500



No. 14
The following is a PBE-GGA calculation of Nd2IN after structural relaxation, from Alexandria.

a = 3.808 Å, b = 3.808 Å, c = 7.973 Å
α = 76.19°, β = 76.19°, γ = 60.00°
Positions (direct):
Nd 0.057 0.057 0.830
Nd 0.276 0.276 0.172
I 0.500 0.500 0.501
N 0.668 0.668 0.997



No. 15
The following is a PBE-GGA calculation of NdI3N after structural relaxation, from Alexandria.

a = 6.849 Å, b = 6.849 Å, c = 9.830 Å
α = 95.14°, β = 95.14°, γ = 69.84°
Positions (direct):
Nd 0.740 0.260 0.500
Nd 0.260 0.740 0.500
I 0.916 0.916 0.269
I 0.084 0.084 0.731
I 0.745 0.745 0.610
I 0.557 0.557 0.257
I 0.255 0.255 0.390
I 0.443 0.443 0.743
N 0.702 0.702 0.953
N 0.298 0.298 0.047



No. 16
The following is a PBE-GGA calculation of Nd3I7N after structural relaxation, from Alexandria.

a = 8.137 Å, b = 8.577 Å, c = 8.577 Å
α = 120.00°, β = 90.00°, γ = 90.00°
Positions (direct):
Nd 0.760 0.481 0.519
Nd 0.760 0.481 0.961
Nd 0.760 0.039 0.519
I 0.012 0.159 0.841
I 0.012 0.159 0.317
I 0.994 0.667 0.333
I 0.536 0.834 0.166
I 0.536 0.331 0.166
I 0.536 0.834 0.669
I 0.012 0.683 0.841
N 0.699 0.333 0.667



No. 17
The following is a PBE-GGA calculation of Nd2I4N after structural relaxation, from Alexandria.

a = 3.541 Å, b = 13.974 Å, c = 13.974 Å
α = 90.00°, β = 90.00°, γ = 90.00°
Positions (direct):
Nd 0.000 0.084 0.916
Nd 0.000 0.916 0.084
Nd 0.500 0.584 0.584
Nd 0.500 0.416 0.416
I 0.000 0.227 0.454
I 0.000 0.773 0.546
I 0.500 0.046 0.727
I 0.500 0.954 0.273
I 0.500 0.273 0.954
I 0.500 0.727 0.046
I 0.000 0.454 0.227
I 0.000 0.546 0.773
N 0.500 0.000 0.000
N 0.000 0.500 0.500



No. 18
The following is a PBE-GGA calculation of NdIN after structural relaxation, from Alexandria.

a = 3.843 Å, b = 4.157 Å, c = 11.783 Å
α = 98.49°, β = 90.00°, γ = 117.53°
Positions (direct):
Nd 0.407 0.814 0.120
Nd 0.593 0.186 0.880
I 0.793 0.586 0.312
I 0.207 0.414 0.688
N 0.074 0.148 0.048
N 0.926 0.852 0.952



No. 19
The following is a PBE-GGA calculation of NdIN after structural relaxation, from Alexandria.

a = 3.994 Å, b = 5.717 Å, c = 7.822 Å
α = 111.44°, β = 104.79°, γ = 90.00°
Positions (direct):
Nd 0.806 0.306 0.611
Nd 0.194 0.694 0.389
I 0.500 0.752 0.000
I 0.500 0.248 0.000
N 0.227 0.227 0.455
N 0.773 0.773 0.545



No. 20
The following is a PBE-GGA calculation of Nd2IN after structural relaxation, from Alexandria.

a = 3.434 Å, b = 3.434 Å, c = 7.554 Å
α = 90.00°, β = 90.00°, γ = 90.00°
Positions (direct):
I 0.500 0.500 0.500
Nd 0.000 0.000 0.803
Nd 0.000 0.000 0.197
N 0.500 0.500 0.000



no.,uncorrected formation energy (eV per atom)
1,0.934
2,1.027
3,1.413
4,0.805
5,0.097
6,1.255
7,1.775
8,0.435
9,0.480
10,0.826
11,0.377
12,0.544
13,-1.338
14,-1.192
15,0.014
16,-1.228
17,-1.039
18,-1.188
19,-0.588
20,-0.471